ZrCrIn at its PBEsol-relaxed geometry, computed with SCAN.

Geometry as CIF:
```
data_ZrCrIn
_space_group_name_H-M_alt 'F -4 3 m'
_space_group_IT_number 216
_space_group_name_Hall 'F -4 2 3'
_cell_length_a 6.569
_cell_length_b 6.569
_cell_length_c 6.569
_cell_angle_alpha 90.00
_cell_angle_beta 90.00
_cell_angle_gamma 90.00
loop_
_atom_site_label
_atom_site_type_symbol
_atom_site_fract_x
_atom_site_fract_y
_atom_site_fract_z
_atom_site_occupancy
Zr1 Zr 0.000 0.000 0.000 1
Cr1 Cr 0.250 0.250 0.750 1
In1 In 0.250 0.250 0.250 1
```

Computed properties:
ΔH_f (0 K) in eV/atom: 0.534
Fermi-level density of states in states/eV/f.u.: 2.37
Polymorph energy (0 for the lowest one) in eV per atom: 0.230

Sr2ScCu at its PBEsol-relaxed geometry, computed with SCAN.

Geometry as CIF:
```
data_Sr2ScCu
_space_group_name_H-M_alt 'P 4/m m m'
_space_group_IT_number 123
_space_group_name_Hall '-P 4 2'
_cell_length_a 3.641
_cell_length_b 3.641
_cell_length_c 9.050
_cell_angle_alpha 90.00
_cell_angle_beta 90.00
_cell_angle_gamma 90.00
loop_
_atom_site_label
_atom_site_type_symbol
_atom_site_fract_x
_atom_site_fract_y
_atom_site_fract_z
_atom_site_occupancy
Sr1 Sr 0.000 0.000 0.203 1
Sc1 Sc 0.500 0.500 0.500 1
Cu1 Cu 0.500 0.500 0.000 1
```

Computed properties:
ΔH_f (0 K) in eV/atom: 0.248
Fermi-level density of states in states/eV/f.u.: 3.97

MgTcAs3 at its PBEsol-relaxed geometry, computed with SCAN.

Geometry as CIF:
```
data_MgTcAs3
_space_group_name_H-M_alt 'P m -3 m'
_space_group_IT_number 221
_space_group_name_Hall '-P 4 2 3'
_cell_length_a 4.790
_cell_length_b 4.790
_cell_length_c 4.790
_cell_angle_alpha 90.00
_cell_angle_beta 90.00
_cell_angle_gamma 90.00
loop_
_atom_site_label
_atom_site_type_symbol
_atom_site_fract_x
_atom_site_fract_y
_atom_site_fract_z
_atom_site_occupancy
Mg1 Mg 0.000 0.000 0.000 1
Tc1 Tc 0.500 0.500 0.500 1
As1 As 0.000 0.500 0.500 1
```

Computed properties:
ΔH_f (0 K) in eV/atom: 0.398
Fermi-level density of states in states/eV/f.u.: 3.08

BaAl2Pt at its PBEsol-relaxed geometry, computed with SCAN.

Geometry as CIF:
```
data_BaAl2Pt
_space_group_name_H-M_alt 'P 4/m m m'
_space_group_IT_number 123
_space_group_name_Hall '-P 4 2'
_cell_length_a 3.269
_cell_length_b 3.269
_cell_length_c 7.957
_cell_angle_alpha 90.00
_cell_angle_beta 90.00
_cell_angle_gamma 90.00
loop_
_atom_site_label
_atom_site_type_symbol
_atom_site_fract_x
_atom_site_fract_y
_atom_site_fract_z
_atom_site_occupancy
Ba1 Ba 0.000 0.000 0.000 1
Al1 Al 0.500 0.500 0.330 1
Pt1 Pt 0.000 0.000 0.500 1
```

Computed properties:
ΔH_f (0 K) in eV/atom: -0.561
Fermi-level density of states in states/eV/f.u.: 1.93